La2PrAl3AgPt2: optimized geometry, GGA-PBE.

Properties
Calculated total energy   -5.33 eV per atom

a = 4.273 Å, b = 12.789 Å, c = 7.342 Å
α = 90.00°, β = 90.00°, γ = 90.00°
Space group Amm2 (No. 38)
Symmetry-distinct sites (fractional):
La: 0.000 0.213 0.000 [4 per cell]
Pr: 0.000 0.000 0.364 [2 per cell]
Al: 0.500 0.000 0.029 [2 per cell]
Al: 0.500 0.118 0.667 [4 per cell]
Ag: 0.000 0.000 0.788 [2 per cell]
Pt: 0.500 0.168 0.285 [4 per cell]